# LiZnNi2 GGA-PBEsol optimized geometry
data_LiZnNi2
_space_group_name_H-M_alt 'C 1 2/m 1'
_space_group_IT_number 12
_cell_length_a 8.2700
_cell_length_b 2.5272
_cell_length_c 4.3332
_cell_angle_alpha 90.00
_cell_angle_beta 100.42
_cell_angle_gamma 90.00
loop_
_space_group_symop_operation_xyz
'x,y,z'
'-x,-y,-z'
'-x,y,-z'
'x,-y,z'
'x+1/2,y+1/2,z'
'-x+1/2,-y+1/2,-z'
'-x+1/2,y+1/2,-z'
'x+1/2,-y+1/2,z'
loop_
_atom_site_label
_atom_site_fract_x
_atom_site_fract_y
_atom_site_fract_z
Li1 0.0000 0.0000 0.0000
Zn1 0.0000 0.5000 0.5000
Ni1 0.2453 0.0000 0.7475
# **V**: 11.134 A^3/atom
# **N(E_F)**: 2.83 states/eV/f.u.
# **ΔH_f (0 K)**: -0.111 eV per atom